[1]
GGA-PBE NaHgAuF6, relaxed; total DFT energy (no corrections) = -3.266 eV per atom; magnetic moment = 2.000 μB/f.u.; symmetry = P312 (149); energy relative to the elements, uncorrected = -1474 meV per atom
1.0
-0.449 4.523 0.515
-5.837 -0.723 1.263
4.070 -0.101 4.428
F Na Hg Au
6 1 1 1
Direct
0.737 0.000 0.310
0.263 0.000 0.689
0.737 0.690 0.689
0.263 0.311 0.310
0.737 0.311 0.000
0.263 0.690 0.000
0.000 0.333 0.667
0.500 0.667 0.333
0.500 0.000 0.000

[2]
GGA-PBE MnAg3Cl7, relaxed; total DFT energy (no corrections) = -3.391 eV per atom; magnetic moment = 2.964 μB/f.u.; symmetry = Cm (8); energy relative to the elements, uncorrected = -605 meV per atom
1.0
6.313 1.584 2.906
0.091 6.508 2.906
-0.105 -0.133 7.072
Cl Ag Mn
7 3 1
Direct
0.147 0.147 0.166
0.538 0.538 0.573
0.117 0.698 0.169
0.698 0.117 0.169
0.978 0.385 0.740
0.933 0.933 0.760
0.385 0.978 0.740
0.401 0.401 0.978
0.180 0.693 0.506
0.693 0.180 0.506
0.054 0.054 0.945

[3]
GGA-PBE PmNd12Cd3, relaxed; total DFT energy (no corrections) = -4.117 eV per atom; formation energy from the elements = -0.07 eV/atom; magnetic moment = 0.000 μB/f.u.; symmetry = P4/mmm (123)
1.0
-4.621 -1.525 -1.220
1.912 -2.888 -3.630
1.629 -15.454 13.150
Nd Cd Pm
12 3 1
Direct
0.500 0.500 0.500
0.500 0.000 0.868
0.000 0.500 0.868
0.500 0.000 0.132
0.500 0.500 0.000
0.000 0.500 0.622
0.500 0.000 0.378
0.500 0.500 0.745
0.000 0.500 0.378
0.000 0.500 0.132
0.500 0.000 0.622
0.500 0.500 0.255
0.000 0.000 0.257
0.000 0.000 0.743
0.000 0.000 0.500
0.000 0.000 0.000

- What is the magnetic moment in the first record?
  2.000 μB/f.u.